1.
Material: Er4AgIrAu2
Method: DFT, GGA-PBE
State: optimized geometry

Space-group type: No. 166
Formation enthalpy at 0 K: -0.766 eV per atom
V: 22.09 A^3/atom

Cell: 8.6426 8.6426 8.6426 Å, 33.67 33.67 33.67°
Positions (direct):
Er1 0.1182 0.1182 0.1182
Er2 0.3691 0.3691 0.3691
Er3 0.6309 0.6309 0.6309
Er4 0.8818 0.8818 0.8818
Ag1 0.5000 0.5000 0.5000
Ir1 0.0000 0.0000 0.0000
Au1 0.2420 0.2420 0.2420
Au2 0.7580 0.7580 0.7580



2.
Material: BaBe2Cu
Method: DFT, GGA-PBE
State: optimized geometry

Space-group type: No. 47
Formation enthalpy at 0 K: 0.306 eV per atom
V: 22.00 A^3/atom

Cell: 4.0816 4.2298 5.0978 Å, 90.00 90.00 90.00°
Positions (direct):
Ba1 0.0000 0.0000 0.0000
Be1 0.5000 0.2571 0.5000
Be2 0.5000 0.7429 0.5000
Cu1 0.0000 0.5000 0.5000



3.
Material: CaTlGa
Method: DFT, GGA-PBE
State: optimized geometry

Space-group type: No. 2
Formation enthalpy at 0 K: -0.324 eV per atom
V: 26.84 A^3/atom

Cell: 4.2239 5.9100 6.8812 Å, 99.46 107.84 90.04°
Positions (direct):
Ca1 0.1292 0.3317 0.2573
Ca2 0.8708 0.6683 0.7427
Tl1 0.4279 0.2058 0.8546
Tl2 0.5721 0.7942 0.1454
Ga1 0.2330 0.8505 0.4670
Ga2 0.7670 0.1495 0.5330



4.
Material: MnPHCS
Method: DFT, GGA-PBE
State: optimized geometry

Space-group type: No. 1
V: 13.34 A^3/atom
VASP energy: -6.3131 eV per atom

Cell: 2.9251 3.7673 6.5885 Å, 94.26 90.44 112.83°
Positions (direct):
Mn1 0.0000 0.0000 0.0000
P1 0.7122 0.4306 0.8209
H1 0.0116 0.0382 0.5697
C1 0.1098 0.2297 0.7105
S1 0.3472 0.6881 0.1804



Number 1: magnetic moment 0.0 μB/cell. Number 2: magnetic moment 0.0 μB/cell. Number 3: magnetic moment 0.0 μB/cell. Number 4: magnetic moment 1.0 μB/cell.